[1]
This record from the Alexandria database describes a relaxed NaSrPrGa crystal. The functional is PBE.

abc: 5.584 5.584 5.584
angles: 60.00 60.00 60.00
Sites, in units of the cell vectors:
Na 0.000 0.000 0.000
Sr 0.250 0.250 0.250
Pr 0.750 0.750 0.750
Ga 0.500 0.500 0.500

**Raw total energy**: -11.2 eV for the cell shown
**ΔH_f (0 K)**: -0.103 eV/atom
**Space group**: No. 216

[2]
This record from the Alexandria database describes a relaxed Pr6Co2Au crystal. The functional is PBE.

abc: 8.631 8.631 8.631
angles: 112.37 108.30 107.79
Sites, in units of the cell vectors:
Pr 0.035 0.231 0.804
Pr 0.178 0.284 0.462
Pr 0.178 0.716 0.894
Pr 0.327 0.015 0.688
Pr 0.327 0.639 0.312
Pr 0.427 0.231 0.196
Pr 0.573 0.769 0.804
Pr 0.673 0.361 0.688
Pr 0.673 0.985 0.312
Pr 0.822 0.284 0.106
Pr 0.822 0.716 0.538
Pr 0.965 0.769 0.196
Co 0.113 0.613 0.500
Co 0.343 0.000 0.343
Co 0.657 0.000 0.657
Co 0.887 0.387 0.500
Au 0.000 0.000 0.000
Au 0.500 0.500 0.000

**Raw total energy**: -96.0 eV for the cell shown
**ΔH_f (0 K)**: -0.203 eV/atom
**Space group**: No. 71

[3]
This record from the Alexandria database describes a relaxed Ir2RhCl crystal. The functional is PBE.

abc: 2.819 2.819 7.725
angles: 90.00 90.00 90.00
Sites, in units of the cell vectors:
Ir 0.000 0.000 0.233
Ir 0.000 0.000 0.767
Rh 0.500 0.500 0.000
Cl 0.500 0.500 0.500

**Raw total energy**: -24.4 eV for the cell shown
**Distance to the lowest polymorph of the same formula**: 0.269 eV/atom
**Formation energy without anion corrections**: 638.6 meV per atom
**Space group**: No. 123

no.,calculated volume (Å³/cell)
1,123
2,494
3,61